Here is crystalline Er6BiO12 at its relaxed geometry from the Alexandria database. Energies are from PBE-GGA.

The uncorrected formation energy comes out at -3.033 eV/atom. The electronic total energy is -7.8100 eV/atom.

Unit cell a=9.9026 b=9.9026 c=9.3119 alpha=90.00 beta=90.00 gamma=120.00
With the nearest neighbours (Å) after each atom.
Space group R-3 (No. 148, hexagonal axes)
Symmetry-distinct sites (fractional):
Er 0.0448 0.7885 0.1475 [18 per cell]  6 O 2.21-2.34
Bi 0.0000 0.0000 0.5000 [3 per cell]  6 O 2.14
O 0.0345 0.8146 0.8984 [18 per cell]  4 Er 2.21-2.34
O 0.0405 0.8352 0.3876 [18 per cell]  1 Bi 2.14, 2 Er 2.29-2.31